Entry 1:
# PBE ZnPbSeO, relaxed
data_ZnPbSeO
_space_group_name_H-M_alt 'P 1'
_space_group_IT_number 1
_space_group_name_Hall 'P 1'
_cell_length_a 9.8659
_cell_length_b 18.8891
_cell_length_c 3.6249
_cell_angle_alpha 90.00
_cell_angle_beta 90.00
_cell_angle_gamma 90.00
loop_
_atom_site_label
_atom_site_type_symbol
_atom_site_fract_x
_atom_site_fract_y
_atom_site_fract_z
Zn1 Zn 0.0780 0.1176 0.0000
Zn2 Zn 0.0794 0.5807 0.0000
Zn3 Zn 0.4206 0.0807 0.0000
Zn4 Zn 0.4220 0.6176 0.0000
Zn5 Zn 0.5780 0.3824 0.0000
Zn6 Zn 0.5794 0.9193 0.0000
Zn7 Zn 0.9206 0.4193 0.0000
Zn8 Zn 0.9220 0.8824 0.0000
Pb1 Pb 0.0168 0.7307 0.5000
Pb2 Pb 0.2439 0.8953 0.5000
Pb3 Pb 0.2561 0.3953 0.5000
Pb4 Pb 0.4832 0.2307 0.5000
Pb5 Pb 0.5168 0.7693 0.5000
Pb6 Pb 0.7439 0.6047 0.5000
Pb7 Pb 0.7561 0.1047 0.5000
Pb8 Pb 0.9832 0.2693 0.5000
Se1 Se 0.2167 0.0076 0.0000
Se2 Se 0.2368 0.7180 0.0000
Se3 Se 0.2632 0.2180 0.0000
Se4 Se 0.2833 0.5076 0.0000
Se5 Se 0.7167 0.4924 0.0000
Se6 Se 0.7368 0.7820 0.0000
Se7 Se 0.7632 0.2820 0.0000
Se8 Se 0.7833 0.9924 0.0000
O1 O 0.0036 0.8673 0.5000
O2 O 0.0053 0.5975 0.5000
O3 O 0.4947 0.0975 0.5000
O4 O 0.4964 0.3673 0.5000
O5 O 0.5036 0.6327 0.5000
O6 O 0.5053 0.9025 0.5000
O7 O 0.9947 0.4025 0.5000
O8 O 0.9964 0.1327 0.5000
# E ... -4.09 eV per atom
# SG ... No. 55

***

Entry 2:
# PBE ZnPbSeO, relaxed
data_ZnPbSeO
_space_group_name_H-M_alt 'P 1'
_space_group_IT_number 1
_space_group_name_Hall 'P 1'
_cell_length_a 7.8698
_cell_length_b 7.8698
_cell_length_c 6.2781
_cell_angle_alpha 90.00
_cell_angle_beta 90.00
_cell_angle_gamma 154.20
loop_
_atom_site_label
_atom_site_type_symbol
_atom_site_fract_x
_atom_site_fract_y
_atom_site_fract_z
Zn1 Zn 0.1667 0.8333 0.5000
Zn2 Zn 0.8333 0.1667 0.0000
Pb1 Pb 0.4378 0.5622 0.5685
Pb2 Pb 0.5622 0.4378 0.0685
Se1 Se 0.1867 0.8133 0.8930
Se2 Se 0.8133 0.1867 0.3930
O1 O 0.3836 0.6164 0.9055
O2 O 0.6164 0.3836 0.4055
# E ... -4.03 eV per atom
# SG ... No. 36

***

Entry 3:
# PBE ZnPbSeO, relaxed
data_ZnPbSeO
_space_group_name_H-M_alt 'P 1'
_space_group_IT_number 1
_space_group_name_Hall 'P 1'
_cell_length_a 12.2272
_cell_length_b 12.2272
_cell_length_c 12.2272
_cell_angle_alpha 19.19
_cell_angle_beta 19.19
_cell_angle_gamma 19.19
loop_
_atom_site_label
_atom_site_type_symbol
_atom_site_fract_x
_atom_site_fract_y
_atom_site_fract_z
Zn1 Zn 0.1931 0.1931 0.1931
Zn2 Zn 0.8069 0.8069 0.8069
Pb1 Pb 0.3723 0.3723 0.3723
Pb2 Pb 0.6277 0.6277 0.6277
Se1 Se 0.1197 0.1197 0.1197
Se2 Se 0.8803 0.8803 0.8803
O1 O 0.3093 0.3093 0.3093
O2 O 0.6907 0.6907 0.6907
# E ... -4.18 eV per atom
# SG ... No. 166

***

| no. | distance to the lowest polymorph of the same formula (kJ/mol of formula units) |
| --- | --- |
| 1 | 72 |
| 2 | 96 |
| 3 | 37 |